The following is a PBE-GGA calculation of Li2CrAu2 after structural relaxation, from the Alexandria database.

The structure belongs to space group P4/mbm (No. 127); the cell edges are 7.5085, 7.5085 and 2.6961 Å and the angles 90.00°, 90.00° and 90.00°. The distinct sites, in fractional coordinates, are Li at (0.1274, 0.3726, 0.0000), Cr at (0.0000, 0.0000, 0.5000) and Au at (0.1719, 0.6719, 0.5000).

The value obtained for the energy above the most stable polymorph in this dataset is 1.534 eV per formula unit. The calculation puts the magnetic moment at 0.2 μB/f.u. For the formation enthalpy at 0 K, the calculation gives 77.2 kJ/mol of formula units.


The following is a PBE-GGA calculation of CsY3F after structural relaxation, from the Alexandria database.

The structure belongs to space group Pm-3m (No. 221); the cell edges are 5.7129, 5.7129 and 5.7129 Å and the angles 90.00°, 90.00° and 90.00°. The distinct sites, in fractional coordinates, are Cs at (0.0000, 0.0000, 0.0000), Y at (0.0000, 0.0000, 0.5000) and F at (0.5000, 0.5000, 0.5000).

The value obtained for the energy above the most stable polymorph in this dataset is 7.357 eV per formula unit. The formation energy without anion corrections is 1.1706 eV/atom. The calculation puts the magnetic moment at 0.0 μB/f.u.


The following is a PBE-GGA calculation of Pu2PaGa after structural relaxation, from the Alexandria database.

The structure belongs to space group P4/mmm (No. 123); the cell edges are 4.4663, 4.4663 and 4.6005 Å and the angles 90.00°, 90.00° and 90.00°. The distinct sites, in fractional coordinates, are Pu at (0.0000, 0.5000, 0.0000), Pa at (0.0000, 0.0000, 0.5000) and Ga at (0.5000, 0.5000, 0.5000).

The value obtained for the energy above the most stable polymorph in this dataset is 0.059 eV per formula unit. The calculation puts the magnetic moment at 11.3 μB/f.u. For the formation enthalpy at 0 K, the calculation gives -45.6 kJ/mol of formula units.


The following is a PBE-GGA calculation of BiH3S after structural relaxation, from the Alexandria database.

The structure belongs to space group Pm-3m (No. 221); the cell edges are 4.0453, 4.0453 and 4.0453 Å and the angles 90.00°, 90.00° and 90.00°. The distinct sites, in fractional coordinates, are Bi at (0.0000, 0.0000, 0.0000), H at (0.0000, 0.0000, 0.5000) and S at (0.5000, 0.5000, 0.5000).

The value obtained for the energy above the most stable polymorph in this dataset is 0.000 eV per formula unit. The calculation puts the magnetic moment at 0.4 μB/f.u.


The following is a PBE-GGA calculation of ScTa2Rh after structural relaxation, from the Alexandria database.

The structure belongs to space group Pmmm (No. 47); the cell edges are 2.9432, 4.4852 and 5.4405 Å and the angles 90.00°, 90.00° and 90.00°. The distinct sites, in fractional coordinates, are Sc at (0.0000, 0.0000, 0.0000), Ta at (0.5000, 0.5000, 0.2512) and Rh at (0.0000, 0.0000, 0.5000).

The value obtained for the energy above the most stable polymorph in this dataset is 1.265 eV per formula unit. The calculation puts the magnetic moment at 0.0 μB/f.u. For the formation enthalpy at 0 K, the calculation gives -15.6 kJ/mol of formula units.


The following is a PBE-GGA calculation of NbZn2Re after structural relaxation, from the Alexandria database.

The structure belongs to space group I-42d (No. 122); the cell edges are 3.7411, 3.7411 and 19.3220 Å and the angles 90.00°, 90.00° and 90.00°. The distinct sites, in fractional coordinates, are Nb at (0.0000, 0.0000, 0.0000), Zn at (0.2333, 0.2500, 0.6250) and Re at (0.0000, 0.0000, 0.5000).

The value obtained for the energy above the most stable polymorph in this dataset is 0.668 eV per formula unit. The calculation puts the magnetic moment at 0.0 μB/f.u. For the formation enthalpy at 0 K, the calculation gives 172.7 kJ/mol of formula units.